No. 1
Cs2NaCd after structural relaxation, computed with PBE-GGA.

The total magnetization is 0.00 μB per formula unit.

The space group is R3m (No. 160, hexagonal axes) and the conventional cell measures 6.8956, 6.8956 and 16.0477 Å, with angles of 90.00, 90.00 and 120.00 degrees. Symmetry generates all atoms from Cs at (0.0000, 0.0000, 0.0000), Cs at (0.0000, 0.0000, 0.2596), Na at (0.0000, 0.0000, 0.5147) and Cd at (0.0000, 0.0000, 0.7411).


No. 2
Ge2TeBr after structural relaxation, computed with PBE-GGA.

The value obtained for the raw formation energy is 0.1163 eV per atom. The total magnetization is 0.00 μB per formula unit.

The space group is I-42d (No. 122) and the conventional cell measures 7.813, 7.813 and 7.404 Å, with angles of 90.00, 90.00 and 90.00 degrees. Symmetry generates all atoms from Ge at (0.240, 0.250, 0.125), Te at (0.000, 0.000, 0.000) and Br at (0.000, 0.000, 0.500).


No. 3
ZnGa4Ag after structural relaxation, computed with PBE-GGA.

The total magnetization is 0.00 μB per formula unit. The calculation puts the excess energy over the best structure of this formula in the dataset at 7 meV/atom.

The space group is C2/c (No. 15) and the conventional cell measures 8.307, 10.724 and 6.191 Å, with angles of 90.00, 127.28 and 90.00 degrees. Symmetry generates all atoms from Zn at (0.000, 0.054, 0.250), Ga at (0.159, 0.183, 0.740), Ga at (0.168, 0.446, 0.751) and Ag at (0.000, 0.310, 0.250).


What are the raw total energy values for these records? In order: -11.07, -54.34, -63.72 eV/cell.